1.
DFT (PBE) results for crystalline VHg3Mo at its relaxed geometry.

Cell: 5.2776 5.2776 5.2776 Å, 90.00 90.00 90.00°
With the nearest neighbours (Å) after each atom.
Space group Pm-3m (No. 221)
Asymmetric unit:
V (0.0000, 0.0000, 0.0000) x1  12 Hg 3.73
Hg (0.0000, 0.5000, 0.5000) x3  2 Mo 2.64
Mo (0.5000, 0.5000, 0.5000) x1  6 Hg 2.64

Summary:
Energy above the most stable polymorph in this dataset (meV/atom): 0
DOS(E_F) (states/eV/cell): 7.04
Energy of formation (kJ/mol of formula units): 641

2.
DFT (PBE) results for crystalline HgMo4W at its relaxed geometry.

Cell: 7.4147 7.4147 7.4147 Å, 90.00 90.00 90.00°
With the nearest neighbours (Å) after each atom.
Space group F-43m (No. 216)
Asymmetric unit:
Hg (0.0000, 0.0000, 0.0000) x4  12 Mo 3.07, 4 W 3.21
Mo (0.1256, 0.1256, 0.6256) x16  6 Mo 2.61-2.63
W (0.2500, 0.2500, 0.2500) x4  12 Mo 3.08, 4 Hg 3.21

Summary:
DOS(E_F) (states/eV/cell): 7.64
Energy of formation (kJ/mol of formula units): 252

3.
DFT (PBE) results for crystalline HgMo3W at its relaxed geometry.

Cell: 4.8175 4.8175 4.8175 Å, 90.00 90.00 90.00°
With the nearest neighbours (Å) after each atom.
Space group Pm-3m (No. 221)
Asymmetric unit:
Hg (0.0000, 0.0000, 0.0000) x1  6 Mo 2.41
Mo (0.0000, 0.0000, 0.5000) x3  2 Hg 2.41
W (0.5000, 0.5000, 0.5000) x1  12 Mo 3.41

Summary:
Energy above the most stable polymorph in this dataset (meV/atom): 1292
DOS(E_F) (states/eV/cell): 9.94
Energy of formation (kJ/mol of formula units): 1453

4.
DFT (PBE) results for crystalline HgMoW at its relaxed geometry.

Cell: 3.2326 4.6722 14.2410 Å, 90.00 90.00 90.00°
With the nearest neighbours (Å) after each atom.
Space group Fmm2 (No. 42)
Asymmetric unit:
Hg (0.0000, 0.0000, 0.0000) x4  4 Hg 2.84, 2 Mo 3.00, 2 W 3.02
Mo (0.0000, 0.0000, 0.6775) x4  2 W 2.60, 4 Mo 2.84
W (0.0000, 0.0000, 0.3205) x4  2 Mo 2.60, 4 W 2.84

Summary:
Energy above the most stable polymorph in this dataset (meV/atom): 0
DOS(E_F) (states/eV/cell): 7.97
Energy of formation (kJ/mol of formula units): 143

5.
DFT (PBE) results for crystalline HgMoW at its relaxed geometry.

Cell: 2.7434 4.3804 8.6133 Å, 90.00 90.00 90.00°
With the nearest neighbours (Å) after each atom.
Space group Imm2 (No. 44)
Asymmetric unit:
Hg (0.0000, 0.0000, 0.0000) x2  2 Hg 2.74, 5 W 2.87-2.96, 5 Mo 2.87-2.95
Mo (0.0000, 0.0000, 0.6664) x2  2 Mo 2.74, 5 W 2.87-2.96, 5 Hg 2.87-2.95
W (0.0000, 0.0000, 0.3331) x2  2 W 2.74, 5 Hg 2.87-2.96, 5 Mo 2.87-2.96

Summary:
Energy above the most stable polymorph in this dataset (meV/atom): 90
DOS(E_F) (states/eV/cell): 2.25
Energy of formation (kJ/mol of formula units): 169

6.
DFT (PBE) results for crystalline HgMoW at its relaxed geometry.

Cell: 3.3440 3.3440 9.5124 Å, 90.00 90.00 90.00°
With the nearest neighbours (Å) after each atom.
Space group I4mm (No. 107)
Asymmetric unit:
Hg (0.0000, 0.0000, 0.0000) x2  5 W 2.96-2.98, 5 Mo 2.96-2.98
Mo (0.0000, 0.0000, 0.3132) x2  4 W 2.65, 4 Hg 2.96
W (0.0000, 0.0000, 0.6865) x2  4 Mo 2.65, 4 Hg 2.96

Summary:
Energy above the most stable polymorph in this dataset (meV/atom): 24
DOS(E_F) (states/eV/cell): 2.74
Energy of formation (kJ/mol of formula units): 149